## TlFeC2 (PBE-GGA)

Data for an optimized crystal structure of TlFeC2.

Lattice parameters (Å, degrees): 5.7263 5.7263 5.7263 120.14 120.14 89.76
With the nearest neighbours (Å) after each atom.
Fractional coordinates of all 8 atoms:
Tl 0.3750 0.6250 0.7500  12 C 3.35-3.36, 4 Tl 3.50, 4 Fe 3.50
Tl 0.6250 0.3750 0.2500  12 C 3.35-3.36, 4 Tl 3.50, 4 Fe 3.50
Fe 0.1250 0.8750 0.2500  4 C 1.75
Fe 0.8750 0.1250 0.7500  4 C 1.75
C 0.0000 0.0000 0.0000  2 Fe 1.75
C 0.0000 0.0000 0.5000  2 Fe 1.75
C 0.0000 0.5000 0.0000  2 Fe 1.75
C 0.5000 0.0000 0.5000  2 Fe 1.75

**Total magnetic moment**: 0.0000 μB per atom
**ρ**: 7.12 g/cm³
**Crystal system**: tetragonal
**DFT formation energy**: 0.963 eV per atom
**D(E_F)**: 1.09 states/eV per cell


## HoSnF (PBE-GGA)

Data for an optimized crystal structure of HoSnF.

Lattice parameters (Å, degrees): 3.8369 3.8369 5.2187 90.00 90.00 120.00
With the nearest neighbours (Å) after each atom.
Fractional coordinates of all 3 atoms:
Ho 0.0000 0.0000 0.0000  3 F 2.22
Sn 0.6667 0.3333 0.5000  6 Ho 3.42, 6 F 3.42
F 0.3333 0.6667 0.0000  3 Ho 2.22

**Total magnetic moment**: 0.0000 μB per atom
**Raw formation energy**: -1.906 eV per atom
**ρ**: 7.55 g/cm³
**Crystal system**: hexagonal
**D(E_F)**: 0.39 states/eV per cell


## GeBr3Cl (PBE-GGA)

Data for an optimized crystal structure of GeBr3Cl.

Lattice parameters (Å, degrees): 5.3430 5.3430 5.3430 90.00 90.00 90.00
With the nearest neighbours (Å) after each atom.
Fractional coordinates of all 5 atoms:
Ge 0.0000 0.0000 0.0000  12 Br 3.78
Br 0.0000 0.5000 0.5000  2 Cl 2.67
Br 0.5000 0.0000 0.5000  2 Cl 2.67
Br 0.5000 0.5000 0.0000  2 Cl 2.67
Cl 0.5000 0.5000 0.5000  6 Br 2.67

**Total magnetic moment**: 0.1708 μB per atom
**Raw formation energy**: 0.547 eV per atom
**ρ**: 3.79 g/cm³
**Crystal system**: cubic
**D(E_F)**: 4.82 states/eV per cell


## U2AsSe2 (PBE-GGA)

Data for an optimized crystal structure of U2AsSe2.

Lattice parameters (Å, degrees): 10.5184 10.5184 10.5184 22.30 22.30 22.30
With the nearest neighbours (Å) after each atom.
Fractional coordinates of all 5 atoms:
U 0.1102 0.1102 0.1102  3 Se 2.82, 3 As 2.92
U 0.8898 0.8898 0.8898  3 Se 2.82, 3 As 2.92
As 0.5000 0.5000 0.5000  6 U 2.92
Se 0.2738 0.2738 0.2738  3 U 2.82
Se 0.7262 0.7262 0.7262  3 U 2.82

**Total magnetic moment**: 0.9612 μB per atom
**Raw formation energy**: -0.954 eV per atom
**ρ**: 8.01 g/cm³
**Crystal system**: trigonal
**D(E_F)**: 8.19 states/eV per cell